Entry 1:
# PBE YRhN2, optimized geometry
data_YRhN2
_chemical_formula_sum 'Y4 Rh4 N8'
_cell_length_a 4.7121
_cell_length_b 4.7121
_cell_length_c 10.7185
_cell_angle_alpha 90.00
_cell_angle_beta 90.00
_cell_angle_gamma 90.00
_symmetry_space_group_name_H-M 'I -4 2 d'
_symmetry_Int_Tables_number 122
_symmetry_space_group_name_Hall 'I -4 2bw'
loop_
_atom_site_label
_atom_site_type_symbol
_atom_site_fract_x
_atom_site_fract_y
_atom_site_fract_z
Y1 Y 0.0000 0.0000 0.0000
Rh1 Rh 0.0000 0.0000 0.5000
N1 N 0.1988 0.2500 0.6250
# - DOS(E_F): 13.51 states/eV per cell
# - Calculated volume: 14.87 Å³ per atom
# - Mass density: 6135 kg/m3
# - E_form (uncorrected): -339 meV/atom
# - Spin magnetization: 0.000 μB per cell

---

Entry 2:
# PBE TbY2ErBi5, optimized geometry
data_TbY2ErBi5
_chemical_formula_sum 'Tb1 Y2 Er1 Bi5'
_cell_length_a 5.4404
_cell_length_b 5.4404
_cell_length_c 11.8196
_cell_angle_alpha 90.00
_cell_angle_beta 90.00
_cell_angle_gamma 90.00
_symmetry_space_group_name_H-M 'P 4/m m m'
_symmetry_Int_Tables_number 123
_symmetry_space_group_name_Hall '-P 4 2'
loop_
_atom_site_label
_atom_site_type_symbol
_atom_site_fract_x
_atom_site_fract_y
_atom_site_fract_z
Tb1 Tb 0.0000 0.0000 0.0000
Y1 Y 0.5000 0.5000 0.2294
Er1 Er 0.0000 0.0000 0.5000
Bi1 Bi 0.0000 0.0000 0.2553
Bi2 Bi 0.0000 0.5000 0.0000
Bi3 Bi 0.5000 0.5000 0.5000
# - Energy of formation: 0.035 eV per atom
# - DOS(E_F): 5.97 states/eV per cell
# - Calculated volume: 38.87 Å³ per atom
# - Mass density: 7352 kg/m3
# - Spin magnetization: 0.000 μB per cell

---

Entry 3:
# PBE K2ZrScCo, optimized geometry
data_K2ZrScCo
_chemical_formula_sum 'K2 Zr1 Sc1 Co1'
_cell_length_a 6.1483
_cell_length_b 6.1483
_cell_length_c 4.6300
_cell_angle_alpha 90.00
_cell_angle_beta 90.00
_cell_angle_gamma 90.00
_symmetry_space_group_name_H-M 'P 4/m m m'
_symmetry_Int_Tables_number 123
_symmetry_space_group_name_Hall '-P 4 2'
loop_
_atom_site_label
_atom_site_type_symbol
_atom_site_fract_x
_atom_site_fract_y
_atom_site_fract_z
K1 K 0.0000 0.5000 0.0000
Zr1 Zr 0.0000 0.0000 0.5000
Sc1 Sc 0.5000 0.5000 0.5000
Co1 Co 0.0000 0.0000 0.0000
# - Energy of formation: 1.157 eV per atom
# - DOS(E_F): 7.04 states/eV per cell
# - Calculated volume: 35.00 Å³ per atom
# - Mass density: 2593 kg/m3
# - Spin magnetization: 1.848 μB per cell

---

Entry 4:
# PBE Rb3Pa2PbO9, optimized geometry
data_Rb3Pa2PbO9
_chemical_formula_sum 'Rb3 Pa2 Pb1 O9'
_cell_length_a 6.2120
_cell_length_b 6.2120
_cell_length_c 7.5779
_cell_angle_alpha 90.00
_cell_angle_beta 90.00
_cell_angle_gamma 120.00
_symmetry_space_group_name_H-M 'P -3 m 1'
_symmetry_Int_Tables_number 164
_symmetry_space_group_name_Hall '-P 3 2"'
loop_
_atom_site_label
_atom_site_type_symbol
_atom_site_fract_x
_atom_site_fract_y
_atom_site_fract_z
Rb1 Rb 0.0000 0.0000 0.0000
Rb2 Rb 0.3333 0.6667 0.6631
Pa1 Pa 0.3333 0.6667 0.1706
Pb1 Pb 0.0000 0.0000 0.5000
O1 O 0.0000 0.5000 0.0000
O2 O 0.1693 0.3386 0.3299
# - DOS(E_F): 16.59 states/eV per cell
# - Calculated volume: 16.88 Å³ per atom
# - Mass density: 7014 kg/m3
# - E_form (uncorrected): -2372 meV/atom
# - Spin magnetization: 0.051 μB per cell